1.
First-principles (GGA-PBE) data for Cu2TePd after structural relaxation, as listed in the Alexandria database.

abc: 4.0136 4.0136 3.9517
angles: 90.00 90.00 90.00
Closest atoms and distances in Å follow each position.
Fractional coordinates of all 4 atoms:
Cu 0.0000 0.5000 0.0000  4 Te 2.82, 4 Pd 2.82, 4 Cu 2.84
Cu 0.5000 0.0000 0.0000  4 Te 2.82, 4 Pd 2.82, 4 Cu 2.84
Te 0.0000 0.0000 0.5000  8 Cu 2.82, 4 Pd 2.84
Pd 0.5000 0.5000 0.5000  8 Cu 2.82, 4 Te 2.84

## Properties
Formation energy from raw total energies = -0.032 eV per atom


2.
First-principles (GGA-PBE) data for NdAlZn2Ni4 after structural relaxation, as listed in the Alexandria database.

abc: 8.6252 8.6252 8.6252
angles: 27.35 27.35 27.35
Closest atoms and distances in Å follow each position.
Fractional coordinates of all 8 atoms:
Nd 0.0000 0.0000 0.0000  8 Ni 2.97-3.29
Al 0.5000 0.5000 0.5000  8 Ni 2.34-2.51
Zn 0.2373 0.2373 0.2373  7 Ni 2.43-2.62
Zn 0.7627 0.7627 0.7627  7 Ni 2.43-2.62
Ni 0.1320 0.1320 0.1320  3 Al 2.51, 4 Zn 2.52-2.62, 3 Ni 2.78
Ni 0.4059 0.4059 0.4059  1 Al 2.34, 3 Zn 2.43
Ni 0.5941 0.5941 0.5941  1 Al 2.34, 3 Zn 2.43
Ni 0.8680 0.8680 0.8680  3 Al 2.51, 4 Zn 2.52-2.62, 3 Ni 2.78

## Properties
Calculated formation energy = -0.34 eV/atom


3.
First-principles (GGA-PBE) data for Cs5CdBr8 after structural relaxation, as listed in the Alexandria database.

abc: 9.5085 9.5085 9.5085
angles: 113.49 113.49 101.70
Closest atoms and distances in Å follow each position.
Fractional coordinates of all 14 atoms:
Cs 0.0000 0.0000 0.0000  4 Br 3.58
Cs 0.2434 0.1191 0.6009  7 Br 3.59-3.89
Cs 0.3574 0.7566 0.8757  7 Br 3.59-3.89
Cs 0.5183 0.6426 0.3991  7 Br 3.59-3.89
Cs 0.8809 0.4817 0.1243  7 Br 3.59-3.89
Cd 0.7500 0.2500 0.5000  4 Br 2.69
Br 0.0515 0.3740 0.8029  1 Cd 2.69
Br 0.1816 0.3964 0.4146  5 Cs 3.58-3.74, 1 Br 3.83
Br 0.2330 0.8184 0.2149  5 Cs 3.58-3.74, 1 Br 3.83
Br 0.5711 0.2487 0.1971  1 Cd 2.69
Br 0.6036 0.0182 0.7851  5 Cs 3.58-3.74, 1 Br 3.83
Br 0.6260 0.4289 0.6775  1 Cd 2.69
Br 0.7513 0.9485 0.3225  1 Cd 2.69
Br 0.9818 0.7670 0.5854  5 Cs 3.58-3.74, 1 Br 3.83

## Properties
Formation energy from raw total energies = -1.379 eV per atom


4.
First-principles (GGA-PBE) data for Tl2Se after structural relaxation, as listed in the Alexandria database.

abc: 5.4670 5.4670 7.0050
angles: 90.00 90.00 120.00
Closest atoms and distances in Å follow each position.
Fractional coordinates of all 6 atoms:
Tl 0.0000 0.0000 0.0000  8 Tl 3.50-3.61, 6 Se 3.61
Tl 0.0000 0.0000 0.5000  8 Tl 3.50-3.61, 6 Se 3.61
Tl 0.3333 0.6667 0.2500  5 Se 3.16-3.50
Tl 0.6667 0.3333 0.7500  5 Se 3.16-3.50
Se 0.3333 0.6667 0.7500  5 Tl 3.16-3.50
Se 0.6667 0.3333 0.2500  5 Tl 3.16-3.50

## Properties
Energy above the most stable polymorph in this dataset = 0.093 eV/atom
Formation energy from raw total energies = -0.280 eV per atom


5.
First-principles (GGA-PBE) data for PaFeRe2 after structural relaxation, as listed in the Alexandria database.

abc: 9.7056 9.7056 9.7056
angles: 16.70 16.70 16.70
Closest atoms and distances in Å follow each position.
Fractional coordinates of all 4 atoms:
Pa 0.0000 0.0000 0.0000  6 Pa 2.82
Fe 0.5000 0.5000 0.5000  6 Re 2.60, 6 Fe 2.82
Re 0.2374 0.2374 0.2374  3 Fe 2.60, 6 Re 2.82
Re 0.7626 0.7626 0.7626  3 Fe 2.60, 6 Re 2.82

## Properties
Energy above the most stable polymorph in this dataset = 0.183 eV/atom
Calculated formation energy = 0.36 eV/atom


6.
First-principles (GGA-PBE) data for NdSm3In3 after structural relaxation, as listed in the Alexandria database.

abc: 9.6281 9.6281 5.2115
angles: 90.00 90.00 120.00
Closest atoms and distances in Å follow each position.
Fractional coordinates of all 14 atoms:
Nd 0.3333 0.6667 0.2500  9 In 3.43-3.51, 3 Sm 3.78
Nd 0.6667 0.3333 0.7500  9 In 3.43-3.51, 3 Sm 3.78
Sm 0.0022 0.7645 0.7500  4 In 3.20-3.35, 4 Sm 3.46
Sm 0.2355 0.2376 0.7500  4 In 3.20-3.35, 4 Sm 3.46
Sm 0.2376 0.0022 0.2500  4 In 3.20-3.35, 4 Sm 3.46
Sm 0.7624 0.9978 0.7500  4 In 3.20-3.35, 4 Sm 3.46
Sm 0.7645 0.7624 0.2500  4 In 3.20-3.35, 4 Sm 3.46
Sm 0.9978 0.2355 0.2500  4 In 3.20-3.35, 4 Sm 3.46
In 0.0673 0.4536 0.7500  4 Sm 3.20-3.35, 2 In 3.23, 3 Nd 3.43-3.51
In 0.3862 0.9327 0.7500  4 Sm 3.20-3.35, 2 In 3.23, 3 Nd 3.43-3.51
In 0.4536 0.3862 0.2500  4 Sm 3.20-3.35, 2 In 3.23, 3 Nd 3.43-3.51
In 0.5464 0.6138 0.7500  4 Sm 3.20-3.35, 2 In 3.23, 3 Nd 3.43-3.51
In 0.6138 0.0673 0.2500  4 Sm 3.20-3.35, 2 In 3.23, 3 Nd 3.43-3.51
In 0.9327 0.5464 0.2500  4 Sm 3.20-3.35, 2 In 3.23, 3 Nd 3.43-3.51

## Properties
Energy above the most stable polymorph in this dataset = 0.000 eV/atom
Calculated formation energy = -0.35 eV/atom


7.
First-principles (GGA-PBE) data for Rb2ZrTlBr8 after structural relaxation, as listed in the Alexandria database.

abc: 6.8787 7.8239 9.4086
angles: 89.68 89.50 89.86
Closest atoms and distances in Å follow each position.
Fractional coordinates of all 12 atoms:
Rb 0.0046 0.9995 0.2347  6 Br 3.46-3.54
Rb 0.9954 0.0005 0.7653  6 Br 3.46-3.54
Zr 0.5000 0.5000 0.0000  6 Br 2.65-2.67
Tl 0.5000 0.5000 0.5000  6 Br 3.29-3.36
Br 0.2617 0.3875 0.2051  1 Zr 2.67
Br 0.2650 0.3822 0.7992  1 Zr 2.67
Br 0.3133 0.7966 0.9962  1 Zr 2.65
Br 0.3305 0.8934 0.5012  1 Br 2.87
Br 0.6695 0.1066 0.4988  1 Br 2.87
Br 0.6867 0.2034 0.0038  1 Zr 2.65
Br 0.7350 0.6178 0.2008  1 Zr 2.67
Br 0.7383 0.6125 0.7949  1 Zr 2.67

## Properties
Formation energy from raw total energies = -1.264 eV per atom


8.
First-principles (GGA-PBE) data for La2ScBePt6 after structural relaxation, as listed in the Alexandria database.

abc: 7.5306 7.5306 7.5306
angles: 46.19 46.19 46.19
Closest atoms and distances in Å follow each position.
Fractional coordinates of all 10 atoms:
La 0.2336 0.2336 0.2336  6 Pt 3.04
La 0.7664 0.7664 0.7664  6 Pt 3.04
Sc 0.5000 0.5000 0.5000  6 Pt 2.64
Be 0.0000 0.0000 0.0000  6 Pt 2.19
Pt 0.2374 0.2374 0.7159  1 Be 2.19
Pt 0.2374 0.7159 0.2374  1 Be 2.19
Pt 0.2841 0.7626 0.7626  1 Be 2.19
Pt 0.7159 0.2374 0.2374  1 Be 2.19
Pt 0.7626 0.2841 0.7626  1 Be 2.19
Pt 0.7626 0.7626 0.2841  1 Be 2.19

## Properties
Calculated formation energy = -0.90 eV/atom